The following is a DFT calculation (PBE) of an optimized crystal structure of IrOs2Se.

Lattice parameters (Å, degrees): 4.065 4.065 7.276 90.00 90.00 90.00
Space group I4/mmm (No. 139)
Unique sites:
Ir 0.000 0.000 0.000 (multiplicity 2)
Os 0.000 0.500 0.250 (multiplicity 4)
Se 0.000 0.000 0.500 (multiplicity 2)

Calculated values
Volume   15.0 Å³/atom
ΔE_f (raw)   3.099 eV per formula unit
Total magnetic moment   0.00 μB/f.u.


The following is a DFT calculation (PBE) of an optimized crystal structure of Ir2OsSe.

Lattice parameters (Å, degrees): 2.733 4.816 9.474 90.00 90.00 90.00
Space group Cmm2 (No. 35)
Unique sites:
Ir 0.000 0.000 0.000 (multiplicity 2)
Ir 0.000 0.500 0.247 (multiplicity 2)
Os 0.000 0.500 0.760 (multiplicity 2)
Se 0.000 0.000 0.502 (multiplicity 2)

Calculated values
Volume   15.6 Å³/atom
ΔE_f (raw)   2.728 eV per formula unit
Total magnetic moment   0.00 μB/f.u.